one | Density functional theory data (PBE-GGA) for crystalline FeCuNi at its relaxed geometry.

Structure (CIF):
```
data_FeCuNi
_chemical_formula_sum 'Fe4 Cu4 Ni4'
_cell_length_a 6.839
_cell_length_b 4.056
_cell_length_c 5.022
_cell_angle_alpha 90.00
_cell_angle_beta 92.03
_cell_angle_gamma 90.00
_space_group_name_H-M_alt 'C 1 2/m 1'
_space_group_IT_number 12
loop_
_space_group_symop_operation_xyz
'x,y,z'
'-x,-y,-z'
'-x,y,-z'
'x,-y,z'
'x+1/2,y+1/2,z'
'-x+1/2,-y+1/2,-z'
'-x+1/2,y+1/2,-z'
'x+1/2,-y+1/2,z'
loop_
_atom_site_label
_atom_site_type_symbol
_atom_site_fract_x
_atom_site_fract_y
_atom_site_fract_z
Fe1 Fe 0.166 0.000 0.406
Cu1 Cu 0.167 0.000 0.911
Ni1 Ni 0.001 0.500 0.743
```

Total magnetization   1.09 μB per atom
Density of states at the Fermi level   2.170 states/eV/f.u.

=====

two | Density functional theory data (PBE-GGA) for crystalline FeCuNi at its relaxed geometry.

Structure (CIF):
```
data_FeCuNi
_chemical_formula_sum 'Fe4 Cu4 Ni4'
_cell_length_a 8.025
_cell_length_b 3.583
_cell_length_c 5.067
_cell_angle_alpha 90.00
_cell_angle_beta 108.72
_cell_angle_gamma 90.00
_space_group_name_H-M_alt 'C 1 2/m 1'
_space_group_IT_number 12
loop_
_space_group_symop_operation_xyz
'x,y,z'
'-x,-y,-z'
'-x,y,-z'
'x,-y,z'
'x+1/2,y+1/2,z'
'-x+1/2,-y+1/2,-z'
'-x+1/2,y+1/2,-z'
'x+1/2,-y+1/2,z'
loop_
_atom_site_label
_atom_site_type_symbol
_atom_site_fract_x
_atom_site_fract_y
_atom_site_fract_z
Fe1 Fe 0.005 0.000 0.259
Cu1 Cu 0.168 0.500 0.083
Ni1 Ni 0.165 0.500 0.582
```

Total magnetization   1.08 μB per atom
Density of states at the Fermi level   1.618 states/eV/f.u.

=====

three | Density functional theory data (PBE-GGA) for crystalline FeCuNi at its relaxed geometry.

Structure (CIF):
```
data_FeCuNi
_chemical_formula_sum 'Fe4 Cu4 Ni4'
_cell_length_a 7.799
_cell_length_b 4.342
_cell_length_c 4.835
_cell_angle_alpha 90.00
_cell_angle_beta 121.77
_cell_angle_gamma 90.00
_space_group_name_H-M_alt 'C 1 2 1'
_space_group_IT_number 5
loop_
_space_group_symop_operation_xyz
'x,y,z'
'-x,y,-z'
'x+1/2,y+1/2,z'
'-x+1/2,y+1/2,-z'
loop_
_atom_site_label
_atom_site_type_symbol
_atom_site_fract_x
_atom_site_fract_y
_atom_site_fract_z
Fe1 Fe 0.166 0.000 0.498
Cu1 Cu 0.000 0.497 0.500
Cu2 Cu 0.000 0.647 0.000
Ni1 Ni 0.164 0.145 0.997
```

Total magnetization   1.11 μB per atom
Density of states at the Fermi level   3.143 states/eV/f.u.

=====

four | Density functional theory data (PBE-GGA) for crystalline FeCuNi at its relaxed geometry.

Structure (CIF):
```
data_FeCuNi
_chemical_formula_sum 'Fe4 Cu4 Ni4'
_cell_length_a 4.394
_cell_length_b 7.632
_cell_length_c 4.382
_cell_angle_alpha 90.00
_cell_angle_beta 109.51
_cell_angle_gamma 90.00
_space_group_name_H-M_alt 'C 1 2 1'
_space_group_IT_number 5
loop_
_space_group_symop_operation_xyz
'x,y,z'
'-x,y,-z'
'x+1/2,y+1/2,z'
'-x+1/2,y+1/2,-z'
loop_
_atom_site_label
_atom_site_type_symbol
_atom_site_fract_x
_atom_site_fract_y
_atom_site_fract_z
Fe1 Fe 0.000 0.000 0.000
Fe2 Fe 0.000 0.175 0.500
Cu1 Cu 0.000 0.506 0.500
Cu2 Cu 0.000 0.837 0.500
Ni1 Ni 0.000 0.332 0.000
Ni2 Ni 0.000 0.666 0.000
```

Total magnetization   1.09 μB per atom
Density of states at the Fermi level   2.224 states/eV/f.u.

=====

two is preferred energetically. Next in line: 0.036 eV/atom higher.

=====

one | Density functional theory data (PBE-GGA) for crystalline FeCuNi at its relaxed geometry.

Structure (CIF):
```
data_FeCuNi
_chemical_formula_sum 'Fe4 Cu4 Ni4'
_cell_length_a 4.389
_cell_length_b 7.629
_cell_length_c 4.377
_cell_angle_alpha 90.00
_cell_angle_beta 109.44
_cell_angle_gamma 90.00
_space_group_name_H-M_alt 'C 1 2/c 1'
_space_group_IT_number 15
loop_
_space_group_symop_operation_xyz
'x,y,z'
'-x,-y,-z'
'-x,y,-z+1/2'
'x,-y,z+1/2'
'x+1/2,y+1/2,z'
'-x+1/2,-y+1/2,-z'
'-x+1/2,y+1/2,-z+1/2'
'x+1/2,-y+1/2,z+1/2'
loop_
_atom_site_label
_atom_site_type_symbol
_atom_site_fract_x
_atom_site_fract_y
_atom_site_fract_z
Fe1 Fe 0.000 0.244 0.250
Cu1 Cu 0.000 0.419 0.750
Ni1 Ni 0.000 0.087 0.750
```

Total magnetization   1.11 μB per atom
Density of states at the Fermi level   2.066 states/eV/f.u.

=====

two | Density functional theory data (PBE-GGA) for crystalline FeCuNi at its relaxed geometry.

Structure (CIF):
```
data_FeCuNi
_chemical_formula_sum 'Fe2 Cu2 Ni2'
_cell_length_a 2.530
_cell_length_b 3.596
_cell_length_c 7.589
_cell_angle_alpha 90.00
_cell_angle_beta 90.00
_cell_angle_gamma 90.00
_space_group_name_H-M_alt 'I m m 2'
_space_group_IT_number 44
loop_
_space_group_symop_operation_xyz
'x,y,z'
'-x,-y,z'
'-x,y,z'
'x,-y,z'
'x+1/2,y+1/2,z+1/2'
'-x+1/2,-y+1/2,z+1/2'
'-x+1/2,y+1/2,z+1/2'
'x+1/2,-y+1/2,z+1/2'
loop_
_atom_site_label
_atom_site_type_symbol
_atom_site_fract_x
_atom_site_fract_y
_atom_site_fract_z
Fe1 Fe 0.000 0.000 0.000
Cu1 Cu 0.000 0.000 0.670
Ni1 Ni 0.000 0.000 0.337
```

Total magnetization   1.11 μB per atom
Density of states at the Fermi level   1.875 states/eV/f.u.

=====

three | Density functional theory data (PBE-GGA) for crystalline FeCuNi at its relaxed geometry.

Structure (CIF):
```
data_FeCuNi
_chemical_formula_sum 'Fe3 Cu3 Ni3'
_cell_length_a 2.5261
_cell_length_b 2.5261
_cell_length_c 18.8121
_cell_angle_alpha 90.00
_cell_angle_beta 90.00
_cell_angle_gamma 120.00
_space_group_name_H-M_alt 'R 3 m'
_space_group_IT_number 160
_space_group_name_Hall 'R 3 -2"'
loop_
_atom_site_label
_atom_site_type_symbol
_atom_site_fract_x
_atom_site_fract_y
_atom_site_fract_z
Fe1 Fe 0.0000 0.0000 0.0000
Cu1 Cu 0.0000 0.0000 0.7810
Ni1 Ni 0.0000 0.0000 0.2263
```

Total magnetization   1.07 μB per atom
Density of states at the Fermi level   2.083 states/eV/f.u.

=====

four | Density functional theory data (PBE-GGA) for crystalline FeCuNi at its relaxed geometry.

Structure (CIF):
```
data_FeCuNi
_chemical_formula_sum 'Fe2 Cu2 Ni2'
_cell_length_a 2.499
_cell_length_b 4.391
_cell_length_c 6.758
_cell_angle_alpha 78.04
_cell_angle_beta 79.39
_cell_angle_gamma 73.62
_space_group_name_H-M_alt 'P -1'
_space_group_IT_number 2
loop_
_space_group_symop_operation_xyz
'x,y,z'
'-x,-y,-z'
loop_
_atom_site_label
_atom_site_type_symbol
_atom_site_fract_x
_atom_site_fract_y
_atom_site_fract_z
Fe1 Fe 0.168 0.251 0.410
Cu1 Cu 0.499 0.757 0.246
Ni1 Ni 0.170 0.744 0.916
```

Total magnetization   1.04 μB per atom
Density of states at the Fermi level   3.144 states/eV/f.u.

=====

two is preferred energetically. Next in line: 0.008 eV/atom higher.

=====

one | Density functional theory data (PBE-GGA) for crystalline FeCuNi at its relaxed geometry.

Structure (CIF):
```
data_FeCuNi
_chemical_formula_sum 'Fe4 Cu4 Ni4'
_cell_length_a 4.437
_cell_length_b 7.603
_cell_length_c 4.387
_cell_angle_alpha 90.00
_cell_angle_beta 110.26
_cell_angle_gamma 90.00
_space_group_name_H-M_alt 'C 1 2/m 1'
_space_group_IT_number 12
loop_
_space_group_symop_operation_xyz
'x,y,z'
'-x,-y,-z'
'-x,y,-z'
'x,-y,z'
'x+1/2,y+1/2,z'
'-x+1/2,-y+1/2,-z'
'-x+1/2,y+1/2,-z'
'x+1/2,-y+1/2,z'
loop_
_atom_site_label
_atom_site_type_symbol
_atom_site_fract_x
_atom_site_fract_y
_atom_site_fract_z
Fe1 Fe 0.000 0.169 0.000
Cu1 Cu 0.000 0.000 0.500
Cu2 Cu 0.000 0.500 0.000
Ni1 Ni 0.000 0.329 0.500
```

Total magnetization   1.07 μB per atom
Density of states at the Fermi level   3.667 states/eV/f.u.

=====

two | Density functional theory data (PBE-GGA) for crystalline FeCuNi at its relaxed geometry.

Structure (CIF):
```
data_FeCuNi
_chemical_formula_sum 'Fe4 Cu4 Ni4'
_cell_length_a 5.483
_cell_length_b 5.483
_cell_length_c 5.483
_cell_angle_alpha 90.00
_cell_angle_beta 90.00
_cell_angle_gamma 90.00
_space_group_name_H-M_alt 'F -4 3 m'
_space_group_IT_number 216
_space_group_name_Hall 'F -4 2 3'
loop_
_atom_site_label
_atom_site_type_symbol
_atom_site_fract_x
_atom_site_fract_y
_atom_site_fract_z
Fe1 Fe 0.000 0.000 0.000
Cu1 Cu 0.000 0.000 0.500
Ni1 Ni 0.250 0.250 0.750
```

Total magnetization   1.12 μB per atom
Density of states at the Fermi level   4.396 states/eV/f.u.

=====

three | Density functional theory data (PBE-GGA) for crystalline FeCuNi at its relaxed geometry.

Structure (CIF):
```
data_FeCuNi
_chemical_formula_sum 'Fe1 Cu1 Ni1'
_cell_length_a 4.0351
_cell_length_b 4.0351
_cell_length_c 2.4649
_cell_angle_alpha 90.00
_cell_angle_beta 90.00
_cell_angle_gamma 120.00
_space_group_name_H-M_alt 'P 3 m 1'
_space_group_IT_number 156
loop_
_space_group_symop_operation_xyz
'x,y,z'
'-y,x-y,z'
'-x+y,-x,z'
'-y,-x,z'
'-x+y,y,z'
'x,x-y,z'
loop_
_atom_site_label
_atom_site_type_symbol
_atom_site_fract_x
_atom_site_fract_y
_atom_site_fract_z
Fe1 Fe 0.0000 0.0000 0.0000
Cu1 Cu 0.3333 0.6667 0.6405
Ni1 Ni 0.6667 0.3333 0.2889
```

Total magnetization   1.10 μB per atom
Density of states at the Fermi level   2.311 states/eV/f.u.

=====

four | Density functional theory data (PBE-GGA) for crystalline FeCuNi at its relaxed geometry.

Structure (CIF):
```
data_FeCuNi
_chemical_formula_sum 'Fe4 Cu4 Ni4'
_cell_length_a 4.389
_cell_length_b 7.628
_cell_length_c 4.395
_cell_angle_alpha 90.00
_cell_angle_beta 109.66
_cell_angle_gamma 90.00
_space_group_name_H-M_alt 'C 1 2/c 1'
_space_group_IT_number 15
loop_
_space_group_symop_operation_xyz
'x,y,z'
'-x,-y,-z'
'-x,y,-z+1/2'
'x,-y,z+1/2'
'x+1/2,y+1/2,z'
'-x+1/2,-y+1/2,-z'
'-x+1/2,y+1/2,-z+1/2'
'x+1/2,-y+1/2,z+1/2'
loop_
_atom_site_label
_atom_site_type_symbol
_atom_site_fract_x
_atom_site_fract_y
_atom_site_fract_z
Fe1 Fe 0.000 0.085 0.250
Cu1 Cu 0.000 0.250 0.750
Ni1 Ni 0.000 0.421 0.250
```

Total magnetization   1.11 μB per atom
Density of states at the Fermi level   2.540 states/eV/f.u.

=====

four is preferred energetically. Next in line: 0.034 eV/atom higher.

=====

one | Density functional theory data (PBE-GGA) for crystalline FeCuNi at its relaxed geometry.

Structure (CIF):
```
data_FeCuNi
_chemical_formula_sum 'Fe2 Cu2 Ni2'
_cell_length_a 2.515
_cell_length_b 2.515
_cell_length_c 10.879
_cell_angle_alpha 90.00
_cell_angle_beta 90.00
_cell_angle_gamma 90.00
_space_group_name_H-M_alt 'P 4/n m m'
_space_group_IT_number 129
loop_
_space_group_symop_operation_xyz
'x,y,z'
'-x,-y,-z'
'-y+1/2,x,z'
'y+1/2,-x,-z'
'-x+1/2,-y+1/2,z'
'x+1/2,y+1/2,-z'
'y,-x+1/2,z'
'-y,x+1/2,-z'
'x+1/2,-y,-z'
'-x+1/2,y,z'
'-y,-x,-z'
'y,x,z'
'-x,y+1/2,-z'
'x,-y+1/2,z'
'y+1/2,x+1/2,-z'
'-y+1/2,-x+1/2,z'
loop_
_atom_site_label
_atom_site_type_symbol
_atom_site_fract_x
_atom_site_fract_y
_atom_site_fract_z
Fe1 Fe 0.250 0.250 0.087
Cu1 Cu 0.250 0.250 0.415
Ni1 Ni 0.250 0.250 0.752
```

Total magnetization   0.98 μB per atom
Density of states at the Fermi level   2.166 states/eV/f.u.

=====

two | Density functional theory data (PBE-GGA) for crystalline FeCuNi at its relaxed geometry.

Structure (CIF):
```
data_FeCuNi
_chemical_formula_sum 'Fe1 Cu1 Ni1'
_cell_length_a 2.5288
_cell_length_b 2.5288
_cell_length_c 6.2531
_cell_angle_alpha 90.00
_cell_angle_beta 90.00
_cell_angle_gamma 120.00
_space_group_name_H-M_alt 'P 3 m 1'
_space_group_IT_number 156
loop_
_space_group_symop_operation_xyz
'x,y,z'
'-y,x-y,z'
'-x+y,-x,z'
'-y,-x,z'
'-x+y,y,z'
'x,x-y,z'
loop_
_atom_site_label
_atom_site_type_symbol
_atom_site_fract_x
_atom_site_fract_y
_atom_site_fract_z
Fe1 Fe 0.0000 0.0000 0.0000
Cu1 Cu 0.3333 0.6667 0.6573
Ni1 Ni 0.6667 0.3333 0.3220
```

Total magnetization   1.07 μB per atom
Density of states at the Fermi level   2.316 states/eV/f.u.

=====

one is preferred energetically. Next in line: 0.047 eV/atom higher.